Na5CoSO2 | GGA+U | optimized geometry

The structure in POSCAR format:
```
Na5CoSO2
1.0
-0.0938 1.3428 4.4104
-4.5410 0.7353 -0.3204
-1.4002 -7.6462 2.2983
Na Co S O
5 1 1 2
direct
0.0000 0.0000 0.5000 Na
0.0000 0.5000 0.2548 Na
0.5000 0.0000 0.2548 Na
0.0000 0.5000 0.7452 Na
0.5000 0.0000 0.7452 Na
0.0000 0.0000 0.0000 Co
0.5000 0.5000 0.5000 S
0.0000 0.0000 0.7813 O
0.0000 0.0000 0.2187 O
```

Calculated values
Spin magnetization (Bohr magnetons per cell): 2.0
Total DFT energy (no corrections) (eV for the cell shown): -35.732